Computed, not measured: a PBEsol-optimized structure of Hf2Pt3 at the SCAN level of DFT.

Results
Magnetic moment (Bohr magnetons per cell): 0.0
D(E_F) (states/eV per atom): 0.414
Calculated formation energy (meV/atom): -1317.0

Cell: 7.6730 7.6730 7.6730 Å, 154.14 154.14 36.90°
Element x y z (fractional)
Hf1 0.1105 0.1105 0.0000
Hf2 0.8895 0.8895 0.0000
Pt1 0.3048 0.3048 0.0000
Pt2 0.5000 0.5000 0.0000
Pt3 0.6952 0.6952 0.0000

***

Computed, not measured: a PBEsol-optimized structure of HfPt3 at the SCAN level of DFT.

Results
Magnetic moment (Bohr magnetons per cell): 0.0
D(E_F) (states/eV per atom): 0.018
Calculated formation energy (meV/atom): -1224.8

Cell: 3.9777 3.9777 3.9777 Å, 90.00 90.00 90.00°
Element x y z (fractional)
Hf1 0.0000 0.0000 0.0000
Pt1 0.0000 0.5000 0.5000
Pt2 0.5000 0.0000 0.5000
Pt3 0.5000 0.5000 0.0000

***

Computed, not measured: a PBEsol-optimized structure of RbHfPt3 at the SCAN level of DFT.

Results
Magnetic moment (Bohr magnetons per cell): 0.0
D(E_F) (states/eV per atom): 0.859
Calculated formation energy (meV/atom): 2203.1

Cell: 4.8619 4.8619 4.8619 Å, 90.00 90.00 90.00°
Element x y z (fractional)
Rb1 0.0000 0.0000 0.0000
Hf1 0.5000 0.5000 0.5000
Pt1 0.0000 0.0000 0.5000
Pt2 0.0000 0.5000 0.0000
Pt3 0.5000 0.0000 0.0000

***

Computed, not measured: a PBEsol-optimized structure of HfRePt3 at the SCAN level of DFT.

Results
Magnetic moment (Bohr magnetons per cell): 0.0
D(E_F) (states/eV per atom): 0.952
Calculated formation energy (meV/atom): 883.8

Cell: 4.7291 4.7291 4.7291 Å, 90.00 90.00 90.00°
Element x y z (fractional)
Hf1 0.0000 0.0000 0.0000
Re1 0.5000 0.5000 0.5000
Pt1 0.0000 0.5000 0.5000
Pt2 0.5000 0.0000 0.5000
Pt3 0.5000 0.5000 0.0000